1.
Compound: PrNd2Ga2
Source: Alexandria via LeMat-Bulk
Functional: GGA-PBE
Structure: optimized geometry

```
10
Lattice="4.5455 0.0000 0.0000 0.0000 7.8767 0.0000 0.0000 0.0000 7.8767" Properties=species:S:1:pos:R:3 pbc="T T T"
Pr 0.0000 0.0000 0.0000
Pr 0.0000 3.9383 3.9383
Nd 2.2727 1.3717 5.3101
Nd 2.2727 5.3101 6.5050
Nd 2.2727 6.5050 2.5666
Nd 2.2727 2.5666 1.3717
Ga 0.0000 3.0191 6.9575
Ga 0.0000 6.9575 4.8576
Ga 0.0000 4.8576 0.9192
Ga 0.0000 0.9192 3.0191
```

- Raw total energy: -4.54 eV/atom
- Energy of formation: -45.4 kJ per mole of atoms
- Mass density: 6.70 Mg/m³
- Relative energy among the computed polymorphs: 0 meV/atom
- Crystal system: tetragonal

=====

2.
Compound: Ac3Zn4In
Source: Alexandria via LeMat-Bulk
Functional: GGA-PBE
Structure: optimized geometry

```
8
Lattice="-3.4360 -3.7759 -1.0407 2.2603 -3.0162 3.4808 -4.8799 6.6224 5.1261" Properties=species:S:1:pos:R:3 pbc="T T T"
Ac -2.2200 1.3099 2.5766
Ac -3.8357 -1.4796 4.9896
Ac 1.1301 -1.5081 1.7404
Zn -3.5273 1.6837 5.5368
Zn -2.5283 -1.8534 2.0294
Zn -1.4598 -3.2792 3.6749
Zn -4.5958 3.1096 3.8913
In -1.7180 -1.8880 -0.5204
```

- Raw total energy: -2.67 eV/atom
- Energy of formation: -14.7 kJ per mole of atoms
- Mass density: 7.32 Mg/m³
- Crystal system: orthorhombic